No. 1
YSiC3, optimized geometry, DFT PBE-GGA; energy relative to the elements, uncorrected = 2.89 eV per atom; VASP energy = -25.11 eV per cell; energy above the most stable polymorph in this dataset = 1.950 eV per atom; density = 2.8 g/cm³
1.0
4.491 0.000 0.000
0.000 4.491 0.000
0.000 0.000 4.491
Si C Y
1 3 1
Cartesian
2.245 2.245 2.245
2.245 0.000 0.000
0.000 2.245 0.000
0.000 0.000 2.245
0.000 0.000 0.000

No. 2
Y2SiC, optimized geometry, DFT PBE-GGA; energy relative to the elements, uncorrected = -0.06 eV per atom; VASP energy = -55.59 eV per cell; energy above the most stable polymorph in this dataset = 0.000 eV per atom; density = 4.3 g/cm³
1.0
6.988 0.000 0.000
0.000 6.988 0.000
3.494 3.494 3.481
Y Si C
4 2 2
Cartesian
8.735 8.316 2.610
4.822 1.747 0.870
2.167 5.241 0.870
5.241 5.661 2.610
0.000 0.000 0.000
6.988 3.494 1.740
3.494 6.988 1.740
3.494 3.494 0.000

No. 3
Y2SiC, optimized geometry, DFT PBE-GGA; energy relative to the elements, uncorrected = 0.32 eV per atom; VASP energy = -26.29 eV per cell; energy above the most stable polymorph in this dataset = 0.377 eV per atom; density = 4.7 g/cm³
1.0
0.000 3.375 3.375
3.375 0.000 3.375
3.375 3.375 0.000
Y Si C
2 1 1
Cartesian
1.688 1.688 1.688
5.063 5.063 5.063
3.375 3.375 3.375
0.000 0.000 0.000

No. 4
YSiC3, optimized geometry, DFT PBE-GGA; energy relative to the elements, uncorrected = 0.94 eV per atom; VASP energy = -34.86 eV per cell; energy above the most stable polymorph in this dataset = 0.000 eV per atom; density = 4.5 g/cm³
1.0
3.826 0.000 0.000
0.000 3.826 0.000
0.000 0.000 3.826
Y C Si
1 3 1
Cartesian
1.913 1.913 1.913
1.913 0.000 0.000
0.000 1.913 0.000
0.000 0.000 1.913
0.000 0.000 0.000

No. 5
YSiC2, optimized geometry, DFT PBE-GGA; energy relative to the elements, uncorrected = 0.11 eV per atom; VASP energy = -59.82 eV per cell; density = 4.5 g/cm³
1.0
5.664 0.000 0.000
0.000 5.664 0.000
2.832 2.832 3.272
C Y Si
4 2 2
Cartesian
3.795 1.416 0.818
1.869 4.248 0.818
4.248 4.701 2.454
7.080 6.626 2.454
0.000 0.000 0.000
5.664 2.832 1.636
2.832 5.664 1.636
2.832 2.832 0.000

No. 6
YZr2SiC, optimized geometry, DFT PBE-GGA; energy relative to the elements, uncorrected = -0.41 eV per atom; VASP energy = -40.25 eV per cell; density = 5.4 g/cm³
1.0
4.499 0.000 0.000
0.000 4.769 0.000
0.000 0.000 4.499
Zr C Si Y
2 1 1 1
Cartesian
0.000 0.000 2.250
2.250 0.000 0.000
0.000 0.000 0.000
2.250 2.385 2.250
0.000 2.385 0.000